Be3Tc2 | PBE-GGA | optimized geometry

```
Be3Tc2
1.0
4.070 0.000 0.000
-2.035 3.525 0.000
0.000 0.000 4.662
Be Tc
3 2
Direct
0.000 0.000 0.000
0.333 0.667 0.400
0.667 0.333 0.600
0.333 0.667 0.905
0.667 0.333 0.095
```

**SG**: P-3m1
**Calculated formation energy**: 0.25 eV/atom
**Distance to the lowest polymorph of the same formula**: 513 meV/atom
**N(E_F)**: 0.29 states/eV/atom
**Energy**: -6.135 eV/atom